DFT (PBE-GGA) results for crystalline Zn2SiPt at its relaxed geometry.

Values from the calculation:
The symmetry is I-4m2. Its density of states at the Fermi level is 2.2 states/eV/cell. The uncorrected formation energy comes out at -0.16 eV per atom.

Cell and atoms, written as POSCAR:
```
Zn2SiPt
1.0
-4.430 -0.895 -1.198
-0.310 -4.628 -0.587
1.700 2.464 3.591
Si Zn Pt
1 2 1
Cartesian
-2.550 -0.596 0.750
0.000 0.000 0.000
-0.490 -2.463 1.056
-2.370 -2.762 -0.892
```